Below is ZrCo2Si after structural relaxation, with properties calculated at the GGA-PBE level.

Cell: 2.8123 2.8123 6.6676 Å, 90.00 90.00 90.00°
Atoms (fractional coordinates):
Zr1 0.0000 0.0000 0.0000
Co1 0.5000 0.5000 0.3024
Co2 0.5000 0.5000 0.6976
Si1 0.0000 0.0000 0.5000

## Properties
ΔE_f (raw), kJ/mol of formula units: -161
Fermi-level density of states, states/eV/f.u.: 3.4

=====

Below is Zr8Co2Si after structural relaxation, with properties calculated at the GGA-PBE level.

Cell: 7.3660 7.3660 4.6916 Å, 98.34 98.34 115.46°
Atoms (fractional coordinates):
Zr1 0.0000 0.0000 0.0000
Zr2 0.0712 0.3104 0.6142
Zr3 0.1651 0.6400 0.1769
Zr4 0.3104 0.0712 0.6142
Zr5 0.4643 0.7008 0.7582
Zr6 0.6400 0.1651 0.1769
Zr7 0.7008 0.4643 0.7582
Zr8 0.7663 0.7663 0.3609
Co1 0.0494 0.6778 0.6511
Co2 0.6778 0.0494 0.6511
Si1 0.3841 0.3841 0.1843

## Properties
ΔE_f (raw), kJ/mol of formula units: -149
Fermi-level density of states, states/eV/f.u.: 12.5

=====

Below is Sm2Co after structural relaxation, with properties calculated at the GGA-PBE level.

Cell: 6.9466 6.9466 6.9466 Å, 151.36 151.36 40.95°
Atoms (fractional coordinates):
Sm1 0.1265 0.1265 0.0000
Sm2 0.8735 0.8735 0.0000
Co1 0.5000 0.5000 0.0000

## Properties
E_form, meV/atom: -18
Fermi-level density of states, states/eV/f.u.: 2.8

=====

Below is Sm3Co4 after structural relaxation, with properties calculated at the GGA-PBE level.

Cell: 8.9882 8.9882 8.9882 Å, 154.76 153.27 37.09°
Atoms (fractional coordinates):
Sm1 0.0000 0.0000 0.0000
Sm2 0.1853 0.6853 0.5000
Sm3 0.8147 0.3147 0.5000
Co1 0.3678 0.8678 0.5000
Co2 0.4328 0.4328 0.0000
Co3 0.5672 0.5672 0.0000
Co4 0.6322 0.1322 0.5000

## Properties
E_form, meV/atom: -122
Fermi-level density of states, states/eV/f.u.: 6.6

=====

Below is SmCo4 after structural relaxation, with properties calculated at the GGA-PBE level.

Cell: 4.6176 4.6176 4.6176 Å, 90.00 90.00 90.00°
Atoms (fractional coordinates):
Sm1 0.0000 0.0000 0.0000
Co1 0.0000 0.0000 0.5000
Co2 0.0000 0.5000 0.0000
Co3 0.5000 0.0000 0.0000
Co4 0.5000 0.5000 0.5000

## Properties
E_form, meV/atom: 2009
Fermi-level density of states, states/eV/f.u.: 6.9

=====

Below is Sm5Co3 after structural relaxation, with properties calculated at the GGA-PBE level.

Cell: 7.2322 7.2322 14.3931 Å, 90.00 90.00 90.00°
Atoms (fractional coordinates):
Sm1 0.0713 0.5713 0.1071
Sm2 0.0713 0.5713 0.3929
Sm3 0.0713 0.9287 0.6071
Sm4 0.0713 0.9287 0.8929
Sm5 0.2500 0.2500 0.2499
Sm6 0.2500 0.2500 0.7499
Sm7 0.4287 0.5713 0.6071
Sm8 0.4287 0.5713 0.8929
Sm9 0.4287 0.9287 0.1071
Sm10 0.4287 0.9287 0.3929
Sm11 0.5713 0.0713 0.6071
Sm12 0.5713 0.0713 0.8929
Sm13 0.5713 0.4287 0.1071
Sm14 0.5713 0.4287 0.3929
Sm15 0.7500 0.7500 0.2501
Sm16 0.7500 0.7500 0.7501
Sm17 0.9287 0.0713 0.1071
Sm18 0.9287 0.0713 0.3929
Sm19 0.9287 0.4287 0.6071
Sm20 0.9287 0.4287 0.8929
Co1 0.1389 0.6389 0.7500
Co2 0.1389 0.8611 0.2500
Co3 0.2500 0.2500 0.0004
Co4 0.2500 0.2500 0.5004
Co5 0.3611 0.6389 0.2500
Co6 0.3611 0.8611 0.7500
Co7 0.6389 0.1389 0.2500
Co8 0.6389 0.3611 0.7500
Co9 0.7500 0.7500 0.9996
Co10 0.7500 0.7500 0.4996
Co11 0.8611 0.1389 0.7500
Co12 0.8611 0.3611 0.2500

## Properties
E_form, meV/atom: -66
Fermi-level density of states, states/eV/f.u.: 7.3

=====

Below is Sm5Co4 after structural relaxation, with properties calculated at the GGA-PBE level.

Cell: 5.9755 5.9755 9.6733 Å, 109.04 109.04 38.29°
Atoms (fractional coordinates):
Sm1 0.0000 0.0000 0.0000
Sm2 0.1091 0.1091 0.3968
Sm3 0.2298 0.2298 0.8183
Sm4 0.7702 0.7702 0.1817
Sm5 0.8909 0.8909 0.6032
Co1 0.4080 0.4080 0.3900
Co2 0.4629 0.4629 0.1805
Co3 0.5371 0.5371 0.8195
Co4 0.5920 0.5920 0.6100

## Properties
E_form, meV/atom: -90
Fermi-level density of states, states/eV/f.u.: 7.8

=====

Below is Sm3Co after structural relaxation, with properties calculated at the GGA-PBE level.

Cell: 3.4585 3.5937 9.2480 Å, 90.00 90.00 90.00°
Atoms (fractional coordinates):
Sm1 0.0000 0.0000 0.0000
Sm2 0.0000 0.5000 0.3447
Sm3 0.5000 0.5000 0.7051
Co1 0.5000 0.0000 0.4878

## Properties
E_form, meV/atom: 186
Fermi-level density of states, states/eV/f.u.: 4.8

=====

Below is SmCo2 after structural relaxation, with properties calculated at the GGA-PBE level.

Cell: 3.8770 3.8770 4.1508 Å, 90.00 90.00 120.00°
Atoms (fractional coordinates):
Sm1 0.0000 0.0000 0.0000
Co1 0.3333 0.6667 0.5000
Co2 0.6667 0.3333 0.5000

## Properties
E_form, meV/atom: -117
Fermi-level density of states, states/eV/f.u.: 2.1

=====

Below is Sm3Co after structural relaxation, with properties calculated at the GGA-PBE level.

Cell: 8.8098 8.8098 6.2881 Å, 110.89 110.89 82.67°
Atoms (fractional coordinates):
Sm1 0.0000 0.0000 0.0000
Sm2 0.9998 0.2805 0.6403
Sm3 0.1681 0.6401 0.1577
Sm4 0.3595 0.0413 0.5121
Sm5 0.3595 0.2393 0.1113
Sm6 0.3597 0.4488 0.6514
Sm7 0.3599 0.8319 0.8424
Sm8 0.5512 0.6403 0.3486
Sm9 0.7195 0.2805 0.0000
Sm10 0.7195 0.0002 0.3597
Sm11 0.7607 0.6405 0.8887
Sm12 0.9587 0.6405 0.4879
Co1 0.0642 0.9358 0.5000
Co2 0.0646 0.3451 0.2052
Co3 0.6545 0.3455 0.5000
Co4 0.6549 0.9354 0.7948

## Properties
E_form, meV/atom: -6
Fermi-level density of states, states/eV/f.u.: 3.1

=====

Below is Sm2Co7 after structural relaxation, with properties calculated at the GGA-PBE level.

Cell: 5.0155 5.0155 24.2784 Å, 90.00 90.00 120.00°
Atoms (fractional coordinates):
Sm1 0.3333 0.6667 0.0277
Sm2 0.3333 0.6667 0.1731
Sm3 0.3333 0.6667 0.3269
Sm4 0.3333 0.6667 0.4723
Sm5 0.6667 0.3333 0.5277
Sm6 0.6667 0.3333 0.6731
Sm7 0.6667 0.3333 0.8269
Sm8 0.6667 0.3333 0.9723
Co1 0.0000 0.0000 0.0000
Co2 0.0000 0.0000 0.1681
Co3 0.0000 0.0000 0.3319
Co4 0.0000 0.0000 0.5000
Co5 0.0000 0.0000 0.6681
Co6 0.0000 0.0000 0.8319
Co7 0.1659 0.3317 0.5878
Co8 0.1660 0.3321 0.7500
Co9 0.1659 0.3317 0.9122
Co10 0.1659 0.8341 0.5878
Co11 0.1660 0.8340 0.7500
Co12 0.1659 0.8341 0.9122
Co13 0.3317 0.1659 0.0878
Co14 0.3321 0.1660 0.2500
Co15 0.3317 0.1659 0.4122
Co16 0.3333 0.6667 0.6685
Co17 0.3333 0.6667 0.8315
Co18 0.6667 0.3333 0.1685
Co19 0.6667 0.3333 0.3315
Co20 0.6683 0.8341 0.5878
Co21 0.6679 0.8340 0.7500
Co22 0.6683 0.8341 0.9122
Co23 0.8341 0.1659 0.0878
Co24 0.8340 0.1660 0.2500
Co25 0.8341 0.1659 0.4122
Co26 0.8341 0.6683 0.0878
Co27 0.8340 0.6679 0.2500
Co28 0.8341 0.6683 0.4122

## Properties
E_form, meV/atom: -86
Fermi-level density of states, states/eV/f.u.: 14.0

=====

Below is SmCo6 after structural relaxation, with properties calculated at the GGA-PBE level.

Cell: 5.2371 5.2371 5.2371 Å, 109.47 109.47 109.47°
Atoms (fractional coordinates):
Sm1 0.0000 0.0000 0.0000
Co1 0.2500 0.5000 0.7500
Co2 0.2500 0.7500 0.5000
Co3 0.5000 0.2500 0.7500
Co4 0.5000 0.7500 0.2500
Co5 0.7500 0.2500 0.5000
Co6 0.7500 0.5000 0.2500

## Properties
E_form, meV/atom: 492
E above lowest polymorph, meV per atom: 505
Fermi-level density of states, states/eV/f.u.: 12.2

=====

Below is SmCo5 after structural relaxation, with properties calculated at the GGA-PBE level.

Cell: 4.9779 4.9779 3.9387 Å, 90.00 90.00 120.00°
Atoms (fractional coordinates):
Sm1 0.0000 0.0000 0.0000
Co1 0.0000 0.5000 0.5000
Co2 0.3333 0.6667 0.0000
Co3 0.5000 0.0000 0.5000
Co4 0.5000 0.5000 0.5000
Co5 0.6667 0.3333 0.0000

## Properties
E_form, meV/atom: -66
Fermi-level density of states, states/eV/f.u.: 9.5

=====

Below is Sm2Co7 after structural relaxation, with properties calculated at the GGA-PBE level.

Cell: 12.5061 12.5061 12.5061 Å, 23.11 23.11 23.11°
Atoms (fractional coordinates):
Sm1 0.0513 0.0513 0.0513
Sm2 0.1481 0.1481 0.1481
Sm3 0.8519 0.8519 0.8519
Sm4 0.9487 0.9487 0.9487
Co1 0.0000 0.5000 0.5000
Co2 0.1101 0.6071 0.6071
Co3 0.2788 0.2788 0.2788
Co4 0.3877 0.3877 0.3877
Co5 0.3929 0.3929 0.8899
Co6 0.3929 0.8899 0.3929
Co7 0.5000 0.0000 0.5000
Co8 0.5000 0.5000 0.0000
Co9 0.5000 0.5000 0.5000
Co10 0.6071 0.1101 0.6071
Co11 0.6071 0.6071 0.1101
Co12 0.6123 0.6123 0.6123
Co13 0.7212 0.7212 0.7212
Co14 0.8899 0.3929 0.3929

## Properties
E_form, meV/atom: -87
Fermi-level density of states, states/eV/f.u.: 14.6

=====

Below is Sm4Co after structural relaxation, with properties calculated at the GGA-PBE level.

Cell: 7.6172 7.6172 7.6172 Å, 60.00 60.00 60.00°
Atoms (fractional coordinates):
Sm1 0.2185 0.7605 0.7605
Sm2 0.2395 0.2395 0.2395
Sm3 0.2395 0.2395 0.7815
Sm4 0.2395 0.7815 0.2395
Sm5 0.7605 0.2185 0.7605
Sm6 0.7605 0.7605 0.2185
Sm7 0.7605 0.7605 0.7605
Sm8 0.7815 0.2395 0.2395
Co1 0.3750 0.3750 0.3750
Co2 0.6250 0.6250 0.6250

## Properties
E_form, meV/atom: 300
E above lowest polymorph, meV per atom: 305
Fermi-level density of states, states/eV/f.u.: 7.5

=====

Below is Sm3Co after structural relaxation, with properties calculated at the GGA-PBE level.

Cell: 7.0496 9.7526 6.3486 Å, 90.00 90.00 90.00°
Atoms (fractional coordinates):
Sm1 0.0443 0.2500 0.1470
Sm2 0.1720 0.0696 0.6762
Sm3 0.1720 0.4304 0.6762
Sm4 0.3280 0.5696 0.1762
Sm5 0.3280 0.9304 0.1762
Sm6 0.4557 0.7500 0.6470
Sm7 0.5443 0.2500 0.3530
Sm8 0.6720 0.0696 0.8238
Sm9 0.6720 0.4304 0.8238
Sm10 0.8280 0.5696 0.3238
Sm11 0.8280 0.9304 0.3238
Sm12 0.9557 0.7500 0.8530
Co1 0.1150 0.7500 0.4427
Co2 0.3850 0.2500 0.9427
Co3 0.6150 0.7500 0.0573
Co4 0.8850 0.2500 0.5573

## Properties
E_form, meV/atom: -96
Fermi-level density of states, states/eV/f.u.: 5.0

=====

Below is SmCo5 after structural relaxation, with properties calculated at the GGA-PBE level.

Cell: 6.0187 6.0187 3.8006 Å, 90.00 90.00 143.24°
Atoms (fractional coordinates):
Sm1 0.0000 0.0000 0.0000
Co1 0.1878 0.8122 0.5000
Co2 0.3120 0.6880 0.0000
Co3 0.5000 0.5000 0.5000
Co4 0.6880 0.3120 0.0000
Co5 0.8122 0.1878 0.5000

## Properties
E_form, meV/atom: 162
Fermi-level density of states, states/eV/f.u.: 5.6

=====

Below is Sm8Co3 after structural relaxation, with properties calculated at the GGA-PBE level.

Cell: 6.7260 6.7260 6.7260 Å, 88.61 88.61 88.61°
Atoms (fractional coordinates):
Sm1 0.1549 0.1549 0.1549
Sm2 0.1660 0.3334 0.6568
Sm3 0.3334 0.6568 0.1660
Sm4 0.3432 0.8340 0.6666
Sm5 0.6568 0.1660 0.3334
Sm6 0.6666 0.3432 0.8340
Sm7 0.8340 0.6666 0.3432
Sm8 0.8451 0.8451 0.8451
Co1 0.0000 0.0000 0.5000
Co2 0.0000 0.5000 0.0000
Co3 0.5000 0.0000 0.0000

## Properties
E_form, meV/atom: -35
Fermi-level density of states, states/eV/f.u.: 9.2

=====

Below is SmCo13 after structural relaxation, with properties calculated at the GGA-PBE level.

Cell: 7.9332 7.9332 7.9332 Å, 60.00 60.00 60.00°
Atoms (fractional coordinates):
Sm1 0.2500 0.2500 0.2500
Sm2 0.7500 0.7500 0.7500
Co1 0.0000 0.0000 0.0000
Co2 0.0588 0.2966 0.7034
Co3 0.0588 0.7034 0.9412
Co4 0.0588 0.9412 0.2966
Co5 0.2034 0.4412 0.7966
Co6 0.2034 0.5588 0.4412
Co7 0.2034 0.7966 0.5588
Co8 0.2966 0.0588 0.9412
Co9 0.2966 0.7034 0.0588
Co10 0.2966 0.9412 0.7034
Co11 0.4412 0.2034 0.5588
Co12 0.4412 0.5588 0.7966
Co13 0.4412 0.7966 0.2034
Co14 0.5000 0.5000 0.5000
Co15 0.5588 0.2034 0.7966
Co16 0.5588 0.4412 0.2034
Co17 0.5588 0.7966 0.4412
Co18 0.7034 0.0588 0.2966
Co19 0.7034 0.2966 0.9412
Co20 0.7034 0.9412 0.0588
Co21 0.7966 0.2034 0.4412
Co22 0.7966 0.4412 0.5588
Co23 0.7966 0.5588 0.2034
Co24 0.9412 0.0588 0.7034
Co25 0.9412 0.2966 0.0588
Co26 0.9412 0.7034 0.2966

## Properties
E_form, meV/atom: -39
Fermi-level density of states, states/eV/f.u.: 17.0